[1]
Below is an optimized crystal structure of CaAu6, with properties calculated at the PBE level.

- E above lowest polymorph (meV/atom) = 0
- total magnetization (μB per formula unit) = 0.00
- calculated total energy (eV/atom) = -3.419

a b c (Å): 9.1718 5.6027 11.2237
angles (deg): 90.00 90.00 90.00
Closest atoms and distances in Å follow each position.
Space group Pnma (No. 62)
Unique sites:
Ca (0.2360, 0.2500, 0.0672) [4 per cell]  9 Au 3.13-3.47
Au (0.0541, 0.0068, 0.3090) [8 per cell]  9 Au 2.73-3.02
Au (0.0636, 0.7500, 0.0813) [4 per cell]  5 Au 2.77-2.95
Au (0.1225, 0.2500, 0.5225) [4 per cell]  7 Au 2.83-2.95, 2 Ca 3.13
Au (0.1554, 0.7500, 0.8458) [4 per cell]  8 Au 2.77-3.02
Au (0.1898, 0.2500, 0.7744) [4 per cell]  8 Au 2.78-2.93

[2]
Below is an optimized crystal structure of Ca3Au, with properties calculated at the PBE level.

- total magnetization (μB per formula unit) = 0.00
- calculated total energy (eV/atom) = -2.675

a b c (Å): 4.1232 4.1232 29.8241
angles (deg): 90.00 90.00 120.00
Closest atoms and distances in Å follow each position.
Space group R-3m (No. 166, hexagonal axes)
Unique sites:
Ca (0.0000, 0.0000, 0.0000) [3 per cell]  12 Ca 4.00-4.12
Ca (0.0000, 0.0000, 0.2255) [6 per cell]  3 Au 2.96
Au (0.0000, 0.0000, 0.5000) [3 per cell]  6 Ca 2.96

[3]
Below is an optimized crystal structure of Ca3Au, with properties calculated at the PBE level.

- total magnetization (μB per formula unit) = 0.00
- calculated total energy (eV/atom) = -2.545

a b c (Å): 5.8064 5.8064 5.8064
angles (deg): 90.00 90.00 90.00
Closest atoms and distances in Å follow each position.
Space group Pm-3m (No. 221)
Unique sites:
Ca (0.0000, 0.0000, 0.5000) [3 per cell]  2 Au 2.90
Au (0.0000, 0.0000, 0.0000) [1 per cell]  6 Ca 2.90

| no. | ΔH_f (0 K) (meV/atom) |
| --- | --- |
| 1 | -324 |
| 2 | -354 |
| 3 | -225 |